Entry 1:
Entry from Alexandria via LeMat-Bulk: TlOs3Rh after structural relaxation (PBE-GGA).

Calculated values
The formation enthalpy at 0 K comes out at 53.79 kcal/mol of atoms.

Cell: 4.7255 4.7255 4.7255 Å, 90.00 90.00 90.00°
Atoms (fractional coordinates):
Rh (0.0000, 0.0000, 0.0000)
Os (0.5000, 0.0000, 0.0000)
Os (0.0000, 0.5000, 0.0000)
Os (0.0000, 0.0000, 0.5000)
Tl (0.5000, 0.5000, 0.5000)


Entry 2:
Entry from Alexandria via LeMat-Bulk: TlOs4Rh after structural relaxation (PBE-GGA).

Calculated values
The formation enthalpy at 0 K comes out at 22.50 kcal/mol of atoms.

Cell: 5.2103 5.2103 5.2103 Å, 60.00 60.00 60.00°
Atoms (fractional coordinates):
Rh (0.7500, 0.7500, 0.7500)
Os (0.8717, 0.3761, 0.3761)
Os (0.3761, 0.3761, 0.3761)
Os (0.3761, 0.3761, 0.8717)
Os (0.3761, 0.8717, 0.3761)
Tl (0.0000, 0.0000, 0.0000)


Entry 3:
Entry from Alexandria via LeMat-Bulk: TlOs2Rh after structural relaxation (PBE-GGA).

Calculated values
The formation enthalpy at 0 K comes out at 23.70 kcal/mol of atoms. The calculation puts the distance to the lowest polymorph of the same formula at 0.629 eV per atom.

Cell: 4.6889 4.6889 2.9606 Å, 90.00 90.00 90.00°
Atoms (fractional coordinates):
Os (0.5000, 0.0000, 0.0000)
Os (0.0000, 0.5000, 0.0000)
Rh (0.5000, 0.5000, 0.5000)
Tl (0.0000, 0.0000, 0.5000)


Entry 4:
Entry from Alexandria via LeMat-Bulk: TlOsRh after structural relaxation (PBE-GGA).

Calculated values
The formation enthalpy at 0 K comes out at 18.33 kcal/mol of atoms. The calculation puts the distance to the lowest polymorph of the same formula at 0.290 eV per atom.

Cell: 7.5960 7.3068 2.9076 Å, 84.40 73.21 22.39°
Atoms (fractional coordinates):
Rh (0.3399, 0.3399, 0.6601)
Tl (0.6688, 0.6688, 0.3312)
Os (0.9913, 0.9913, 0.0087)